! ThTe2Br4 GGA-PBE optimized geometry; values from VASP
&SYSTEM
  ibrav = 0, nat = 7, ntyp = 3
/
ATOMIC_SPECIES
Th 232.04 Th.upf
Te 127.60 Te.upf
Br 79.90 Br.upf
CELL_PARAMETERS angstrom
4.4172 0.0000 -1.2474
-0.4699 6.6921 -1.6640
0.7895 0.3867 11.2405
ATOMIC_POSITIONS crystal
Th 0.0000 0.0000 0.0000
Te 0.7547 0.6113 0.5094
Te 0.2453 0.3887 0.4906
Br 0.5580 0.2426 0.1159
Br 0.9054 0.1991 0.8108
Br 0.4420 0.7574 0.8841
Br 0.0946 0.8009 0.1892
! - Formation energy without anion corrections: -1.09 eV per atom
! - SG: C2/m, No. 12
! - DFT total energy: -0.14727 Ha/atom
! - Theoretical density: 3.9 g cm⁻³
! - D(E_F): 0.885 states/eV/cell


! Th2Te3Br GGA-PBE optimized geometry; values from VASP
&SYSTEM
  ibrav = 0, nat = 12, ntyp = 3
/
ATOMIC_SPECIES
Th 232.04 Th.upf
Te 127.60 Te.upf
Br 79.90 Br.upf
CELL_PARAMETERS angstrom
8.2663 0.7098 0.5531
3.3437 7.5930 0.5531
3.3437 2.3913 7.2279
ATOMIC_POSITIONS crystal
Th 0.1417 0.1417 0.1417
Th 0.3583 0.3583 0.3583
Th 0.6417 0.6417 0.6417
Th 0.8583 0.8583 0.8583
Te 0.9744 0.2500 0.5256
Te 0.5256 0.9744 0.2500
Te 0.0256 0.7500 0.4744
Te 0.2500 0.5256 0.9744
Te 0.7500 0.4744 0.0256
Te 0.4744 0.0256 0.7500
Br 0.0000 0.0000 0.0000
Br 0.5000 0.5000 0.5000
! - Formation energy without anion corrections: -1.09 eV per atom
! - SG: R-3c, No. 167
! - DFT total energy: -0.19900 Ha/atom
! - Theoretical density: 7.4 g cm⁻³
! - D(E_F): 9.312 states/eV/cell


! ThTeBr GGA-PBE optimized geometry; values from VASP
&SYSTEM
  ibrav = 0, nat = 6, ntyp = 3
/
ATOMIC_SPECIES
Te 127.60 Te.upf
Br 79.90 Br.upf
Th 232.04 Th.upf
CELL_PARAMETERS angstrom
-3.8866 1.3580 -0.9666
-1.3207 -5.5238 -2.4503
-2.9908 -2.8459 8.0276
ATOMIC_POSITIONS crystal
Te 0.5000 0.5000 0.1505
Te 0.0000 0.0000 0.8495
Br 0.0000 0.0000 0.3451
Br 0.5000 0.5000 0.6549
Th 0.0000 0.5000 0.8854
Th 0.5000 0.0000 0.1146
! - Formation energy without anion corrections: -1.34 eV per atom
! - SG: Pmmn, No. 59
! - DFT total energy: -0.19919 Ha/atom
! - Theoretical density: 6.2 g cm⁻³
! - D(E_F): 3.426 states/eV/cell


! ThTeBr GGA-PBE optimized geometry; values from VASP
&SYSTEM
  ibrav = 0, nat = 3, ntyp = 3
/
ATOMIC_SPECIES
Te 127.60 Te.upf
Th 232.04 Th.upf
Br 79.90 Br.upf
CELL_PARAMETERS angstrom
-3.1259 0.3882 -2.2288
0.0767 -5.0321 -0.9841
-2.6412 1.7872 4.0157
ATOMIC_POSITIONS crystal
Te 0.6669 0.3333 0.6667
Th 0.1659 0.6667 0.3333
Br 0.1672 0.0000 0.0000
! - Formation energy without anion corrections: -1.07 eV per atom
! - SG: P-6m2, No. 187
! - DFT total energy: -0.18935 Ha/atom
! - Theoretical density: 8.3 g cm⁻³
! - D(E_F): 1.436 states/eV/cell


! ThTe6Br12 GGA-PBE optimized geometry; values from VASP
&SYSTEM
  ibrav = 0, nat = 19, ntyp = 3
/
ATOMIC_SPECIES
Te 127.60 Te.upf
Br 79.90 Br.upf
Th 232.04 Th.upf
CELL_PARAMETERS angstrom
8.9260 1.7250 -0.7240
-0.9082 9.0457 -0.7240
1.2841 1.7250 8.8628
ATOMIC_POSITIONS crystal
Te 0.7687 0.5602 0.8144
Te 0.1856 0.2313 0.4398
Te 0.5602 0.8144 0.7687
Te 0.8144 0.7687 0.5602
Te 0.2313 0.4398 0.1856
Te 0.4398 0.1856 0.2313
Br 0.0638 0.9296 0.3012
Br 0.5651 0.3783 0.8254
Br 0.6217 0.1746 0.4349
Br 0.9362 0.0704 0.6988
Br 0.9296 0.3012 0.0638
Br 0.3012 0.0638 0.9296
Br 0.1746 0.4349 0.6217
Br 0.6988 0.9362 0.0704
Br 0.8254 0.5651 0.3783
Br 0.3783 0.8254 0.5651
Br 0.0704 0.6988 0.9362
Br 0.4349 0.6217 0.1746
Th 0.0000 0.0000 0.0000
! - Formation energy without anion corrections: -0.55 eV per atom
! - SG: R-3, No. 148
! - DFT total energy: -0.11000 Ha/atom
! - Theoretical density: 4.3 g cm⁻³


! ThTeBr GGA-PBE optimized geometry; values from VASP
&SYSTEM
  ibrav = 0, nat = 6, ntyp = 3
/
ATOMIC_SPECIES
Br 79.90 Br.upf
Te 127.60 Te.upf
Th 232.04 Th.upf
CELL_PARAMETERS angstrom
-1.7170 1.1527 4.9159
4.4657 -6.2756 0.1383
4.2906 3.0700 0.7787
ATOMIC_POSITIONS crystal
Br 0.0498 0.0996 0.9383
Br 0.5498 0.0996 0.4381
Te 0.3013 0.6026 0.4382
Te 0.8013 0.6026 0.9382
Th 0.4229 0.8458 0.9382
Th 0.9230 0.8459 0.4382
! - Formation energy without anion corrections: -1.27 eV per atom
! - SG: I4mm, No. 107
! - DFT total energy: -0.19655 Ha/atom
! - Theoretical density: 7.1 g cm⁻³
! - D(E_F): 2.909 states/eV/cell


! ThTeBr GGA-PBE optimized geometry; values from VASP
&SYSTEM
  ibrav = 0, nat = 6, ntyp = 3
/
ATOMIC_SPECIES
Br 79.90 Br.upf
Te 127.60 Te.upf
Th 232.04 Th.upf
CELL_PARAMETERS angstrom
4.1995 0.0000 -0.4848
0.0000 6.1884 0.0000
-0.2551 0.0000 9.2677
ATOMIC_POSITIONS crystal
Br 0.8559 0.2500 0.3395
Br 0.1441 0.7500 0.6605
Te 0.2961 0.7500 0.1482
Te 0.7039 0.2500 0.8518
Th 0.2853 0.2500 0.1127
Th 0.7147 0.7500 0.8873
! - Formation energy without anion corrections: -1.34 eV per atom
! - SG: P2_1/m, No. 11
! - DFT total energy: -0.19903 Ha/atom
! - Theoretical density: 6.1 g cm⁻³
! - D(E_F): 4.301 states/eV/cell


! ThTe2Br2 GGA-PBE optimized geometry; values from VASP
&SYSTEM
  ibrav = 0, nat = 10, ntyp = 3
/
ATOMIC_SPECIES
Te 127.60 Te.upf
Th 232.04 Th.upf
Br 79.90 Br.upf
CELL_PARAMETERS angstrom
7.4394 0.0000 -0.5272
3.7197 7.0584 -0.2636
2.5961 0.0000 7.4795
ATOMIC_POSITIONS crystal
Te 0.9050 0.0000 0.3242
Te 0.3360 0.0000 0.8912
Te 0.0950 0.0000 0.6758
Te 0.6640 0.0000 0.1088
Th 0.1486 0.7028 0.0000
Th 0.8514 0.2972 0.0000
Br 0.4581 0.5667 0.2266
Br 0.5419 0.4333 0.7734
Br 0.0248 0.4333 0.2266
Br 0.9752 0.5667 0.7734
! - Formation energy without anion corrections: -1.25 eV per atom
! - SG: C2/m, No. 12
! - DFT total energy: -0.17141 Ha/atom
! - Theoretical density: 5.3 g cm⁻³


> Look up the formation energy without anion corrections of the fifth one.

-0.55 eV per atom